DFT (meta-GGA SCAN) results for a PBEsol-optimized structure of AlIn2Te.

Calculated values
E_tot   -111.5 eV for the cell shown
Volume   100 Å³ per cell
Relative energy among the computed polymorphs   123 meV per atom
Spin magnetization   0.00 μB per formula unit
E_form (uncorrected)   6.7 kJ per mole of atoms

a b c (Å): 3.725 3.725 7.181
angles (deg): 90.00 90.00 90.16
Atoms (fractional coordinates):
Te 0.000 0.000 0.452
Al 0.500 0.500 0.270
In 0.000 0.000 0.017
In 0.500 0.500 0.761

DFT (meta-GGA SCAN) results for a PBEsol-optimized structure of BeBiMo3.

Calculated values
E_tot   -183.2 eV for the cell shown
Volume   80 Å³ per cell
Relative energy among the computed polymorphs   0 meV per atom
Energy relative to the elements   0.87 eV per atom
Spin magnetization   0.00 μB per formula unit

a b c (Å): 4.316 4.316 4.316
angles (deg): 90.00 90.00 90.00
Atoms (fractional coordinates):
Be 0.000 0.000 0.000
Mo 0.000 0.500 0.000
Mo 0.000 0.000 0.500
Mo 0.500 0.000 0.000
Bi 0.500 0.500 0.500

DFT (meta-GGA SCAN) results for a PBEsol-optimized structure of Zn2PtAu.

Calculated values
E_tot   -167.8 eV for the cell shown
Volume   59 Å³ per cell
Energy relative to the elements   -0.36 eV per atom
Spin magnetization   0.00 μB per formula unit

a b c (Å): 3.726 3.727 4.991
angles (deg): 111.92 111.92 90.00
Atoms (fractional coordinates):
Zn 0.000 0.000 0.000
Zn 0.250 0.750 0.500
Au 0.500 0.500 0.000
Pt 0.750 0.250 0.500

DFT (meta-GGA SCAN) results for a PBEsol-optimized structure of SiTeBr2.

Calculated values
E_tot   -85.2 eV for the cell shown
Volume   112 Å³ per cell
Relative energy among the computed polymorphs   356 meV per atom
Spin magnetization   0.00 μB per formula unit
E_form (uncorrected)   23.1 kJ per mole of atoms

a b c (Å): 3.275 3.275 10.478
angles (deg): 90.00 90.00 90.00
Atoms (fractional coordinates):
Si 0.500 0.500 0.000
Te 0.500 0.500 0.500
Br 0.000 0.000 0.840
Br 0.000 0.000 0.160

- The highest volume belongs to which entry?
  SiTeBr2

- Which value of E_tot does entry 3 give?
  -167.8 eV for the cell shown

- Look up the spin magnetization of the third one.
  0.00 μB per formula unit